(1)
Below is a relaxed structure of BaCdTeO, with properties calculated at the PBE level.

```
BaCdTeO
1.0
2.004 -6.913 0.000
2.004 6.913 0.000
0.000 0.000 7.967
Ba Cd Te O
2 2 2 2
Direct
0.041 0.959 0.500
0.959 0.041 0.000
0.315 0.685 0.659
0.685 0.315 0.159
0.338 0.662 0.292
0.662 0.338 0.792
0.100 0.900 0.200
0.900 0.100 0.700
```

---

(2)
Below is a relaxed structure of ReS2, with properties calculated at the PBE level.

```
ReS2
1.0
0.000 3.503 3.503
3.503 0.000 3.503
3.503 3.503 0.000
Re S
2 4
Direct
0.125 0.125 0.125
0.875 0.875 0.875
0.000 0.500 0.500
0.500 0.000 0.500
0.500 0.500 0.000
0.500 0.500 0.500
```

---

(3)
Below is a relaxed structure of TmSbW, with properties calculated at the PBE level.

```
TmSbW
1.0
0.000 3.423 3.423
3.423 0.000 3.423
3.423 3.423 0.000
Tm Sb W
1 1 1
Direct
0.000 0.000 0.000
0.750 0.750 0.750
0.250 0.250 0.250
```

---

(4)
Below is a relaxed structure of TbDy2Mg3AlGa2, with properties calculated at the PBE level.

```
TbDy2Mg3AlGa2
1.0
4.504 0.000 0.000
0.000 6.310 3.637
0.000 -6.310 3.637
Tb Dy Mg Al Ga
1 2 3 1 2
Direct
0.000 0.000 0.000
0.000 0.434 0.869
0.000 0.869 0.434
0.500 0.191 0.435
0.500 0.435 0.191
0.500 0.679 0.679
0.000 0.435 0.435
0.500 0.101 0.767
0.500 0.767 0.101
```

---

| no. | energy (eV/atom) |
| --- | --- |
| 1 | -3.965 |
| 2 | -5.051 |
| 3 | -6.078 |
| 4 | -3.580 |